This record from Alexandria describes a relaxed Cs3Ag crystal. The functional is GGA-PBE.

Structure (extended XYZ):
```
4
Lattice="-2.228 -4.084 2.000 5.198 -5.283 -4.997 3.439 4.565 6.746" Properties=species:S:1:pos:R:3 pbc="T T T"
Cs -0.065 -1.442 3.393
Cs 0.762 -3.949 -0.804
Cs 5.215 -2.079 1.565
Ag 0.249 -0.253 -0.239
```

- distance to the lowest polymorph of the same formula (eV per formula unit) = 0.00
- M_tot (μB/atom) = 0.00
- ΔE_f (eV/atom) = 0.05